SrLiInPb2: relaxed, PBE-GGA.

```
SrLiInPb2
1.0
5.293 0.000 0.000
0.000 5.224 0.000
0.000 0.000 5.293
Pb Sr Li In
2 1 1 1
Cartesian
0.000 0.000 2.647
2.647 0.000 0.000
2.647 2.612 2.647
0.000 0.000 0.000
0.000 2.612 0.000
```

Values from the calculation:
Symmetry   P4/mmm
Formation energy   -0.203 eV per atom